Entry 1:
Compound: Mg2CdAg7Sb2
Source: Alexandria
Functional: PBE
Structure: optimized geometry

The structure belongs to space group C2/m (No. 12); the cell edges are 5.972, 6.057 and 13.446 Å and the angles 90.00°, 90.08° and 90.00°. The asymmetric unit holds Mg at (0.000, 0.000, 0.184), Cd at (0.000, 0.500, 0.500), Ag at (0.000, 0.000, 0.500), Ag at (0.241, 0.000, 0.000), Ag at (0.250, 0.250, 0.344) and Sb at (0.000, 0.500, 0.184).

The crystal system is monoclinic. The magnetic moment is 0.0 μB/f.u. For the volume, the calculation gives 20.27 Å³ per atom. For the raw formation energy, the calculation gives -0.0711 eV/atom.

***

Entry 2:
Compound: HfAg2P
Source: Alexandria
Functional: PBE
Structure: optimized geometry

The structure belongs to space group I-42d (No. 122); the cell edges are 7.641, 7.641 and 5.215 Å and the angles 90.00°, 90.00° and 90.00°. The asymmetric unit holds Hf at (0.000, 0.000, 0.000), Ag at (0.205, 0.250, 0.625) and P at (0.000, 0.000, 0.500).

The crystal system is tetragonal. For the formation energy, the calculation gives 20 meV per atom. The magnetic moment is 0.0 μB/f.u. For the volume, the calculation gives 19.03 Å³ per atom.

***

Entry 3:
Compound: PrSm2SbN4
Source: Alexandria
Functional: PBE
Structure: optimized geometry

The structure belongs to space group Cmcm (No. 63); the cell edges are 3.708, 12.019 and 12.210 Å and the angles 90.00°, 90.00° and 90.00°. The asymmetric unit holds Pr at (0.000, 0.110, 0.250), Sm at (0.000, 0.372, 0.037), Sb at (0.000, 0.152, 0.750), N at (0.000, 0.000, 0.000), N at (0.000, 0.276, 0.630) and N at (0.000, 0.438, 0.250).

The crystal system is orthorhombic. The magnetic moment is 0.0 μB/f.u. For the volume, the calculation gives 17.00 Å³ per atom. For the raw formation energy, the calculation gives -0.6607 eV/atom.

***

Entry 4:
Compound: CrAs2N
Source: Alexandria
Functional: PBE
Structure: optimized geometry

The structure belongs to space group I-42d (No. 122); the cell edges are 5.519, 5.519 and 8.850 Å and the angles 90.00°, 90.00° and 90.00°. The asymmetric unit holds Cr at (0.000, 0.000, 0.000), As at (0.196, 0.250, 0.625) and N at (0.000, 0.000, 0.500).

The crystal system is tetragonal. The magnetic moment is 3.0 μB/f.u. For the volume, the calculation gives 16.85 Å³ per atom. For the raw formation energy, the calculation gives 0.6268 eV/atom.

***

Number 1: calculated density 7.9 Mg/m³. Number 2: calculated density 9.3 Mg/m³. Number 3: calculated density 7.6 Mg/m³. Number 4: calculated density 5.3 Mg/m³.